VASP calculation (PBE+U) on a relaxed structure of Mn2PIO.

Values from the calculation:
DOS at the Fermi energy, states/eV per cell: 2.61
Symmetry: P4/mmm
Crystal system: tetragonal
Total DFT energy (no corrections), eV/atom: -5.21

Cell and atoms, written as CIF:
```
data_Mn2PIO
_cell_length_a 4.961
_cell_length_b 3.910
_cell_length_c 4.961
_cell_angle_alpha 90.00
_cell_angle_beta 90.00
_cell_angle_gamma 90.00
_symmetry_space_group_name_H-M 'P 1'
_symmetry_Int_Tables_number 1
_symmetry_space_group_name_Hall 'P 1'
loop_
_atom_site_label
_atom_site_type_symbol
_atom_site_fract_x
_atom_site_fract_y
_atom_site_fract_z
_atom_site_occupancy
P1 P 0.000 0.500 0.000 1
Mn1 Mn 0.500 0.000 0.000 1
Mn2 Mn 0.000 0.000 0.500 1
O1 O 0.000 0.000 0.000 1
I1 I 0.500 0.500 0.500 1
```